1.
Computed, not measured: a geometry-optimized NbZnAuS2 structure at the GGA-PBE level of DFT.

The calculation puts the total magnetization at 2.10 μB per cell. Its total energy is -3.9264 eV/atom. The value obtained for the uncorrected formation energy is 3.2 eV per formula unit.

a = 4.590 Å, b = 4.590 Å, c = 4.830 Å
α = 90.00°, β = 90.00°, γ = 90.00°
Space group P4/mmm (No. 123)
Asymmetric unit:
Nb (0.000, 0.000, 0.000) [1 per cell]
Zn (0.500, 0.500, 0.500) [1 per cell]
Au (0.500, 0.500, 0.000) [1 per cell]
S (0.000, 0.500, 0.500) [2 per cell]

***

2.
Computed, not measured: a geometry-optimized Nb3SbAu structure at the GGA-PBE level of DFT.

The calculation puts the total magnetization at 0.00 μB per cell. Its total energy is -6.0325 eV/atom. The value obtained for the uncorrected formation energy is 7.4 eV per formula unit. The value obtained for the energy above the most stable polymorph in this dataset is 0.96 eV per formula unit.

a = 5.007 Å, b = 5.007 Å, c = 5.007 Å
α = 90.00°, β = 90.00°, γ = 90.00°
Space group Pm-3m (No. 221)
Asymmetric unit:
Nb (0.000, 0.000, 0.500) [3 per cell]
Sb (0.000, 0.000, 0.000) [1 per cell]
Au (0.500, 0.500, 0.500) [1 per cell]

***

3.
Computed, not measured: a geometry-optimized Nb3SbAu structure at the GGA-PBE level of DFT.

The calculation puts the total magnetization at 0.00 μB per cell. Its total energy is -6.2245 eV/atom. The value obtained for the uncorrected formation energy is 6.5 eV per formula unit. The value obtained for the energy above the most stable polymorph in this dataset is 0.00 eV per formula unit.

a = 4.985 Å, b = 4.985 Å, c = 4.985 Å
α = 90.00°, β = 90.00°, γ = 90.00°
Space group Pm-3m (No. 221)
Asymmetric unit:
Nb (0.000, 0.000, 0.500) [3 per cell]
Sb (0.500, 0.500, 0.500) [1 per cell]
Au (0.000, 0.000, 0.000) [1 per cell]

***

4.
Computed, not measured: a geometry-optimized Nb2Sb2Au structure at the GGA-PBE level of DFT.

The calculation puts the total magnetization at 0.00 μB per cell. Its total energy is -6.4535 eV/atom. The value obtained for the uncorrected formation energy is -0.6 eV per formula unit.

a = 7.549 Å, b = 7.549 Å, c = 3.676 Å
α = 90.00°, β = 90.00°, γ = 90.00°
Space group P4/mbm (No. 127)
Asymmetric unit:
Nb (0.140, 0.360, 0.000) [4 per cell]
Sb (0.154, 0.654, 0.500) [4 per cell]
Au (0.000, 0.000, 0.000) [2 per cell]

***

5.
Computed, not measured: a geometry-optimized ScNbSbAu2 structure at the GGA-PBE level of DFT.

The calculation puts the total magnetization at 0.21 μB per cell. Its total energy is -4.5066 eV/atom. The value obtained for the uncorrected formation energy is 4.5 eV per formula unit.

a = 5.062 Å, b = 5.062 Å, c = 4.852 Å
α = 90.00°, β = 90.00°, γ = 90.00°
Space group P4/mmm (No. 123)
Asymmetric unit:
Sc (0.000, 0.000, 0.000) [1 per cell]
Nb (0.000, 0.000, 0.500) [1 per cell]
Sb (0.500, 0.500, 0.500) [1 per cell]
Au (0.000, 0.500, 0.000) [2 per cell]

***

6.
Computed, not measured: a geometry-optimized NbSb2TeAu structure at the GGA-PBE level of DFT.

The calculation puts the total magnetization at 0.09 μB per cell. Its total energy is -3.8187 eV/atom. The value obtained for the uncorrected formation energy is 5.6 eV per formula unit. The value obtained for the energy above the most stable polymorph in this dataset is 3.29 eV per formula unit.

a = 5.257 Å, b = 5.257 Å, c = 5.365 Å
α = 90.00°, β = 90.00°, γ = 90.00°
Space group P4/mmm (No. 123)
Asymmetric unit:
Nb (0.000, 0.000, 0.000) [1 per cell]
Sb (0.000, 0.500, 0.500) [2 per cell]
Te (0.500, 0.500, 0.000) [1 per cell]
Au (0.500, 0.500, 0.500) [1 per cell]

***

7.
Computed, not measured: a geometry-optimized NbSb2TeAu structure at the GGA-PBE level of DFT.

The calculation puts the total magnetization at 0.00 μB per cell. Its total energy is -4.4769 eV/atom. The value obtained for the uncorrected formation energy is 2.3 eV per formula unit. The value obtained for the energy above the most stable polymorph in this dataset is 0.00 eV per formula unit.

a = 5.370 Å, b = 5.370 Å, c = 5.279 Å
α = 90.00°, β = 90.00°, γ = 90.00°
Space group P4/mmm (No. 123)
Asymmetric unit:
Nb (0.000, 0.000, 0.000) [1 per cell]
Sb (0.000, 0.500, 0.000) [2 per cell]
Te (0.000, 0.000, 0.500) [1 per cell]
Au (0.500, 0.500, 0.500) [1 per cell]

***

8.
Computed, not measured: a geometry-optimized NbSbTe2Au structure at the GGA-PBE level of DFT.

The calculation puts the total magnetization at 0.00 μB per cell. Its total energy is -3.6469 eV/atom. The value obtained for the uncorrected formation energy is 5.5 eV per formula unit. The value obtained for the energy above the most stable polymorph in this dataset is 3.34 eV per formula unit.

a = 5.345 Å, b = 5.345 Å, c = 5.224 Å
α = 90.00°, β = 90.00°, γ = 90.00°
Space group P4/mmm (No. 123)
Asymmetric unit:
Nb (0.000, 0.000, 0.000) [1 per cell]
Sb (0.500, 0.500, 0.000) [1 per cell]
Te (0.000, 0.500, 0.500) [2 per cell]
Au (0.500, 0.500, 0.500) [1 per cell]

***

9.
Computed, not measured: a geometry-optimized NbSbTe2Au structure at the GGA-PBE level of DFT.

The calculation puts the total magnetization at 0.00 μB per cell. Its total energy is -4.3139 eV/atom. The value obtained for the uncorrected formation energy is 2.2 eV per formula unit. The value obtained for the energy above the most stable polymorph in this dataset is 0.00 eV per formula unit.

a = 5.315 Å, b = 5.315 Å, c = 5.455 Å
α = 90.00°, β = 90.00°, γ = 90.00°
Space group P4/mmm (No. 123)
Asymmetric unit:
Nb (0.000, 0.000, 0.000) [1 per cell]
Sb (0.000, 0.000, 0.500) [1 per cell]
Te (0.000, 0.500, 0.000) [2 per cell]
Au (0.500, 0.500, 0.500) [1 per cell]

***

10.
Computed, not measured: a geometry-optimized YNbSbAu2 structure at the GGA-PBE level of DFT.

The calculation puts the total magnetization at 0.00 μB per cell. Its total energy is -5.2774 eV/atom. The value obtained for the uncorrected formation energy is 0.8 eV per formula unit.

a = 5.120 Å, b = 5.120 Å, c = 5.215 Å
α = 90.00°, β = 90.00°, γ = 90.00°
Space group P4/mmm (No. 123)
Asymmetric unit:
Y (0.000, 0.000, 0.000) [1 per cell]
Nb (0.500, 0.500, 0.500) [1 per cell]
Sb (0.500, 0.500, 0.000) [1 per cell]
Au (0.000, 0.500, 0.500) [2 per cell]

***

11.
Computed, not measured: a geometry-optimized ScNbAu2 structure at the GGA-PBE level of DFT.

The calculation puts the total magnetization at 0.00 μB per cell. Its total energy is -5.6696 eV/atom. The value obtained for the energy above the most stable polymorph in this dataset is 1.41 eV per formula unit.

a = 7.593 Å, b = 7.593 Å, c = 5.602 Å
α = 90.00°, β = 90.00°, γ = 90.00°
Space group I-42d (No. 122)
Asymmetric unit:
Sc (0.000, 0.000, 0.000) [4 per cell]
Nb (0.000, 0.000, 0.500) [4 per cell]
Au (0.241, 0.250, 0.625) [8 per cell]

***

12.
Computed, not measured: a geometry-optimized ScNbAu2 structure at the GGA-PBE level of DFT.

The calculation puts the total magnetization at 4.69 μB per cell. Its total energy is -6.0216 eV/atom. The value obtained for the energy above the most stable polymorph in this dataset is 0.00 eV per formula unit.

a = 6.725 Å, b = 6.725 Å, c = 6.725 Å
α = 90.00°, β = 90.00°, γ = 90.00°
Space group Fm-3m (No. 225)
Asymmetric unit:
Sc (0.000, 0.000, 0.000) [4 per cell]
Nb (0.000, 0.000, 0.500) [4 per cell]
Au (0.250, 0.250, 0.250) [8 per cell]

***

13.
Computed, not measured: a geometry-optimized Sc2NbSnAu structure at the GGA-PBE level of DFT.

The calculation puts the total magnetization at 2.97 μB per cell. Its total energy is -5.4034 eV/atom.

a = 5.117 Å, b = 5.117 Å, c = 5.103 Å
α = 90.00°, β = 90.00°, γ = 90.00°
Space group P4/mmm (No. 123)
Asymmetric unit:
Sc (0.000, 0.500, 0.000) [2 per cell]
Nb (0.000, 0.000, 0.500) [1 per cell]
Sn (0.500, 0.500, 0.500) [1 per cell]
Au (0.500, 0.500, 0.000) [1 per cell]

***

14.
Computed, not measured: a geometry-optimized YSc2NbAu structure at the GGA-PBE level of DFT.

The calculation puts the total magnetization at 0.00 μB per cell. Its total energy is -5.9656 eV/atom.

a = 5.010 Å, b = 5.010 Å, c = 5.380 Å
α = 90.00°, β = 90.00°, γ = 90.00°
Space group P4/mmm (No. 123)
Asymmetric unit:
Y (0.000, 0.000, 0.000) [1 per cell]
Sc (0.000, 0.500, 0.500) [2 per cell]
Nb (0.000, 0.000, 0.500) [1 per cell]
Au (0.500, 0.500, 0.000) [1 per cell]

***

15.
Computed, not measured: a geometry-optimized NbAu3Se structure at the GGA-PBE level of DFT.

The calculation puts the total magnetization at 3.16 μB per cell. Its total energy is -3.6841 eV/atom. The value obtained for the uncorrected formation energy is 5.0 eV per formula unit. The value obtained for the energy above the most stable polymorph in this dataset is 0.00 eV per formula unit.

a = 4.929 Å, b = 4.929 Å, c = 4.929 Å
α = 90.00°, β = 90.00°, γ = 90.00°
Space group Pm-3m (No. 221)
Asymmetric unit:
Nb (0.000, 0.000, 0.000) [1 per cell]
Au (0.000, 0.500, 0.500) [3 per cell]
Se (0.500, 0.500, 0.500) [1 per cell]

***

16.
Computed, not measured: a geometry-optimized Nb2Au2Se structure at the GGA-PBE level of DFT.

The calculation puts the total magnetization at 0.00 μB per cell. Its total energy is -5.7245 eV/atom. The value obtained for the uncorrected formation energy is 1.6 eV per formula unit. The value obtained for the energy above the most stable polymorph in this dataset is 0.06 eV per formula unit.

a = 8.349 Å, b = 8.349 Å, c = 2.825 Å
α = 90.00°, β = 90.00°, γ = 90.00°
Space group P4/mbm (No. 127)
Asymmetric unit:
Nb (0.174, 0.326, 0.000) [4 per cell]
Au (0.120, 0.620, 0.500) [4 per cell]
Se (0.000, 0.000, 0.500) [2 per cell]

***

17.
Computed, not measured: a geometry-optimized NbAuSe3 structure at the GGA-PBE level of DFT.

The calculation puts the total magnetization at 0.00 μB per cell. Its total energy is -5.0391 eV/atom. The value obtained for the uncorrected formation energy is -1.4 eV per formula unit. The value obtained for the energy above the most stable polymorph in this dataset is 1.01 eV per formula unit.

a = 5.414 Å, b = 6.850 Å, c = 7.740 Å
α = 90.08°, β = 93.37°, γ = 90.01°
Space group P1 (No. 1)
Asymmetric unit:
Nb (0.000, 0.000, 0.000) [1 per cell]
Nb (0.000, 0.417, 0.000) [1 per cell]
Au (0.212, 0.708, 0.493) [1 per cell]
Au (0.688, 0.209, 0.223) [1 per cell]
Se (0.086, 0.708, 0.788) [1 per cell]
Se (0.214, 0.209, 0.242) [1 per cell]
Se (0.228, 0.208, 0.775) [1 per cell]
Se (0.258, 0.709, 0.182) [1 per cell]
Se (0.709, 0.208, 0.785) [1 per cell]
Se (0.724, 0.708, 0.115) [1 per cell]

***

18.
Computed, not measured: a geometry-optimized NbAuSe2 structure at the GGA-PBE level of DFT.

The calculation puts the total magnetization at 7.81 μB per cell. Its total energy is -5.1605 eV/atom. The value obtained for the uncorrected formation energy is -0.3 eV per formula unit.

a = 5.920 Å, b = 5.920 Å, c = 12.168 Å
α = 90.00°, β = 90.00°, γ = 90.00°
Space group I-42d (No. 122)
Asymmetric unit:
Nb (0.000, 0.000, 0.000) [4 per cell]
Au (0.000, 0.000, 0.500) [4 per cell]
Se (0.236, 0.250, 0.125) [8 per cell]

***

19.
Computed, not measured: a geometry-optimized NbAuSe3 structure at the GGA-PBE level of DFT.

The calculation puts the total magnetization at 0.00 μB per cell. Its total energy is -4.6035 eV/atom. The value obtained for the uncorrected formation energy is 0.8 eV per formula unit. The value obtained for the energy above the most stable polymorph in this dataset is 3.19 eV per formula unit.

a = 5.035 Å, b = 5.035 Å, c = 5.035 Å
α = 90.00°, β = 90.00°, γ = 90.00°
Space group Pm-3m (No. 221)
Asymmetric unit:
Nb (0.000, 0.000, 0.000) [1 per cell]
Au (0.500, 0.500, 0.500) [1 per cell]
Se (0.000, 0.000, 0.500) [3 per cell]

***

20.
Computed, not measured: a geometry-optimized NbAu3Se structure at the GGA-PBE level of DFT.

The calculation puts the total magnetization at 0.00 μB per cell. Its total energy is -3.5190 eV/atom. The value obtained for the uncorrected formation energy is 5.8 eV per formula unit. The value obtained for the energy above the most stable polymorph in this dataset is 0.83 eV per formula unit.

a = 5.136 Å, b = 5.136 Å, c = 5.136 Å
α = 90.00°, β = 90.00°, γ = 90.00°
Space group Pm-3m (No. 221)
Asymmetric unit:
Nb (0.000, 0.000, 0.000) [1 per cell]
Au (0.000, 0.000, 0.500) [3 per cell]
Se (0.500, 0.500, 0.500) [1 per cell]